# 1
Below is a relaxed structure of BaBiIr, with properties calculated at the GGA-PBE level.

Unit cell a=8.0786 b=4.3853 c=11.7846 alpha=90.00 beta=109.25 gamma=90.00
Positions (direct):
Ir: 0.4196 0.0000 0.7197
Ir: 0.4196 0.5000 0.2197
Ir: 0.5804 0.5000 0.7803
Ir: 0.5804 0.0000 0.2803
Bi: 0.7897 0.5000 0.2460
Bi: 0.7897 0.0000 0.7460
Bi: 0.2103 0.5000 0.7540
Bi: 0.2103 0.0000 0.2540
Ba: 0.0000 0.0000 0.5000
Ba: 0.5000 0.5000 0.5000
Ba: 0.0000 0.5000 0.0000
Ba: 0.5000 0.0000 0.0000

Summary:
**DFT formation energy**: -0.348 eV per atom


# 2
Below is a relaxed structure of BRh3Pb, with properties calculated at the GGA-PBE level.

Unit cell a=7.4566 b=7.4566 c=5.0159 alpha=90.00 beta=90.00 gamma=137.38
Positions (direct):
Pb: 0.8202 0.1798 0.7500
Pb: 0.1798 0.8202 0.2500
Rh: 0.0000 0.0000 0.0000
Rh: 0.6071 0.9065 0.2500
Rh: 0.0000 0.0000 0.5000
Rh: 0.0935 0.3929 0.2500
Rh: 0.9065 0.6071 0.7500
Rh: 0.3929 0.0935 0.7500
B: 0.4452 0.5548 0.2500
B: 0.5548 0.4452 0.7500

Summary:
**DFT formation energy**: 0.509 eV per atom
**Relative energy among the computed polymorphs**: 16.89 kcal/mol of atoms


# 3
Below is a relaxed structure of CaS3N, with properties calculated at the GGA-PBE level.

Unit cell a=5.4807 b=5.4807 c=5.4807 alpha=90.00 beta=90.00 gamma=90.00
Each line ends with the local moment (μB).
Positions (direct):
S: 0.5000 0.0000 0.0000  0.75
S: 0.0000 0.0000 0.5000  0.88
S: 0.0000 0.5000 0.0000  0.83
Ca: 0.0000 0.0000 0.0000  -0.02
N: 0.5000 0.5000 0.5000  1.92

Summary:
**Relative energy among the computed polymorphs**: 25.19 kcal/mol of atoms


# 4
Below is a relaxed structure of CsLaHRhS, with properties calculated at the GGA-PBE level.

Unit cell a=4.4944 b=4.4944 c=24.3465 alpha=90.00 beta=90.00 gamma=120.00
Positions (direct):
S: 0.6667 0.3333 0.6612
S: 0.3333 0.6667 0.9945
S: 0.0000 0.0000 0.3279
La: 0.6667 0.3333 0.9353
La: 0.3333 0.6667 0.2686
La: 0.0000 0.0000 0.6020
H: 0.3333 0.6667 0.8246
H: 0.0000 0.0000 0.1579
H: 0.6667 0.3333 0.4912
Rh: 0.6667 0.3333 0.5588
Rh: 0.3333 0.6667 0.8921
Rh: 0.0000 0.0000 0.2254
Cs: 0.6667 0.3333 0.1032
Cs: 0.3333 0.6667 0.4365
Cs: 0.0000 0.0000 0.7698

Summary:
**Relative energy among the computed polymorphs**: 1.11 kcal/mol of atoms


Number 1: mass density 9.08 Mg/m³. Number 2: mass density 9.26 Mg/m³. Number 3: mass density 1.52 Mg/m³. Number 4: mass density 4.77 Mg/m³.